No. 1
Below is AlCu2Ni2 after structural relaxation, with properties calculated at the PBE level. Values from VASP.

Properties
- energy of formation (kJ/mol of atoms) = -18.4
- calculated density (g cm⁻³) = 7.39
- SG = Imma (74)
- size of the total moment (Bohr magnetons per cell) = 0.00
- total energy (eV/atom) = -4.8899

Cell and atoms, written as Quantum ESPRESSO input:
```
&SYSTEM
  ibrav = 0, nat = 10, ntyp = 3
/
ATOMIC_SPECIES
Al 26.98 Al.upf
Cu 63.55 Cu.upf
Ni 58.69 Ni.upf
CELL_PARAMETERS angstrom
3.911 0.004 -1.281
-0.684 4.627 -2.074
0.015 0.157 6.657
ATOMIC_POSITIONS angstrom
Al 1.366 0.590 0.866
Al 1.876 4.198 2.436
Cu 2.191 1.844 3.390
Cu -0.505 3.550 1.775
Cu 3.746 1.238 1.526
Cu 1.050 2.945 -0.089
Ni 2.970 1.495 -0.844
Ni 2.633 3.777 -1.867
Ni 0.609 1.011 5.168
Ni 0.272 3.294 4.145
```


No. 2
Below is YNi2P after structural relaxation, with properties calculated at the PBE level. Values from VASP.

Properties
- energy of formation (kJ/mol of atoms) = -62.7
- calculated density (g cm⁻³) = 5.73
- SG = Pmmm (47)
- size of the total moment (Bohr magnetons per cell) = 0.00
- total energy (eV/atom) = -6.5085

Cell and atoms, written as Quantum ESPRESSO input:
```
&SYSTEM
  ibrav = 0, nat = 4, ntyp = 3
/
ATOMIC_SPECIES
Y 88.91 Y.upf
Ni 58.69 Ni.upf
P 30.97 P.upf
CELL_PARAMETERS angstrom
-3.050 0.619 -2.074
-2.234 -0.922 3.010
-0.016 4.561 1.385
ATOMIC_POSITIONS angstrom
Y -2.650 2.129 1.160
Ni -0.012 3.420 1.038
Ni -0.004 1.141 0.346
P -1.525 0.310 -1.037
```


No. 3
Below is Dy2AlFe2Co5 after structural relaxation, with properties calculated at the PBE level. Values from VASP.

Properties
- energy of formation (kJ/mol of atoms) = -6.5
- calculated density (g cm⁻³) = 8.55
- SG = P4/mbm (127)
- size of the total moment (Bohr magnetons per cell) = 20.34
- total energy (eV/atom) = -6.6074

Cell and atoms, written as Quantum ESPRESSO input:
```
&SYSTEM
  ibrav = 0, nat = 20, ntyp = 4
/
ATOMIC_SPECIES
Dy 162.50 Dy.upf
Al 26.98 Al.upf
Fe 55.84 Fe.upf
Co 58.93 Co.upf
CELL_PARAMETERS angstrom
-0.838 0.406 3.234
-4.538 -8.177 -0.149
7.840 -4.398 2.585
ATOMIC_POSITIONS angstrom
Dy -1.681 -6.330 0.360
Dy 4.982 -6.245 2.076
Dy 1.714 -2.873 0.805
Dy 1.588 -9.703 1.631
Al 0.000 0.000 0.000
Al 1.651 -6.288 1.218
Fe 4.320 -3.723 1.588
Fe -1.018 -8.852 0.848
Fe 4.070 -8.945 2.179
Fe -0.769 -3.630 0.257
Co -0.889 -1.743 1.740
Co 3.353 -10.426 3.930
Co 5.536 -3.774 3.660
Co -0.169 -7.509 2.651
Co -3.072 -8.395 2.010
Co 2.632 -4.660 3.019
Co 2.578 -7.476 3.359
Co -0.115 -4.693 2.311
Co -2.688 -3.885 1.543
Co 3.501 -1.996 2.909
```


No. 4
Below is RbTiVTe3 after structural relaxation, with properties calculated at the PBE level. Values from VASP.

Properties
- calculated density (g cm⁻³) = 5.21
- SG = P2_1/m (11)
- size of the total moment (Bohr magnetons per cell) = 0.00
- uncorrected formation energy (eV/atom) = -0.63
- total energy (eV/atom) = -5.1980

Cell and atoms, written as Quantum ESPRESSO input:
```
&SYSTEM
  ibrav = 0, nat = 12, ntyp = 4
/
ATOMIC_SPECIES
Rb 85.47 Rb.upf
Ti 47.87 Ti.upf
V 50.94 V.upf
Te 127.60 Te.upf
CELL_PARAMETERS angstrom
3.879 0.000 0.000
0.000 10.012 -0.213
0.000 -4.980 9.413
ATOMIC_POSITIONS angstrom
Rb 0.970 0.929 2.292
Rb 2.909 4.103 6.908
Ti 0.970 5.874 1.208
Ti 2.909 -0.842 7.992
V 0.970 -2.184 5.532
V 2.909 7.216 3.668
Te 2.909 7.964 1.161
Te 0.970 -2.932 8.038
Te 0.970 5.410 4.095
Te 2.909 -0.378 5.105
Te 2.909 3.873 1.315
Te 0.970 1.159 7.885
```


No. 5
Below is Ce6SiGe2Te3 after structural relaxation, with properties calculated at the PBE level. Values from VASP.

Properties
- calculated density (g cm⁻³) = 6.56
- SG = C2/m (12)
- size of the total moment (Bohr magnetons per cell) = 4.61
- uncorrected formation energy (eV/atom) = -1.05
- total energy (eV/atom) = -6.0241

Cell and atoms, written as Quantum ESPRESSO input:
```
&SYSTEM
  ibrav = 0, nat = 12, ntyp = 4
/
ATOMIC_SPECIES
Ce 140.12 Ce.upf
Si 28.09 Si.upf
Ge 72.64 Ge.upf
Te 127.60 Te.upf
CELL_PARAMETERS angstrom
4.343 0.000 0.000
0.000 8.779 0.250
-2.172 -2.594 9.195
ATOMIC_POSITIONS angstrom
Ce 0.000 6.178 6.477
Ce 2.172 4.116 3.302
Ce 2.172 0.007 2.968
Ce 0.000 2.030 0.145
Ce 2.172 4.155 9.300
Ce 0.000 2.069 6.143
Si 2.172 0.000 0.000
Ge 2.172 4.121 6.300
Ge 0.000 2.064 3.146
Te 2.172 4.390 0.125
Te 2.172 -0.266 6.161
Te 0.000 6.451 3.284
```


No. 6
Below is CsCuAsF6 after structural relaxation, with properties calculated at the PBE level. Values from VASP.

Properties
- calculated density (g cm⁻³) = 3.61
- SG = P1 (1)
- size of the total moment (Bohr magnetons per cell) = 0.89
- uncorrected formation energy (eV/atom) = -2.09
- total energy (eV/atom) = -4.4054

Cell and atoms, written as Quantum ESPRESSO input:
```
&SYSTEM
  ibrav = 0, nat = 9, ntyp = 4
/
ATOMIC_SPECIES
Cs 132.91 Cs.upf
Cu 63.55 Cu.upf
As 74.92 As.upf
F 19.00 F.upf
CELL_PARAMETERS angstrom
5.549 -0.250 -0.011
2.579 5.126 0.034
-0.014 0.072 6.098
ATOMIC_POSITIONS angstrom
Cs 2.730 5.024 0.199
Cu 5.567 3.252 3.097
As 2.724 1.551 3.125
F 6.435 2.136 1.823
F 4.786 4.726 4.052
F 4.299 1.346 4.075
F 7.092 3.207 4.200
F 3.755 2.956 2.221
F 3.194 0.471 1.717
```


No. 7
Below is La3Ce2Zn3 after structural relaxation, with properties calculated at the PBE level. Values from VASP.

Properties
- energy of formation (kJ/mol of atoms) = -17.3
- calculated density (g cm⁻³) = 6.82
- SG = Immm (71)
- size of the total moment (Bohr magnetons per cell) = 1.39
- total energy (eV/atom) = -3.9888

Cell and atoms, written as Quantum ESPRESSO input:
```
&SYSTEM
  ibrav = 0, nat = 8, ntyp = 3
/
ATOMIC_SPECIES
La 138.91 La.upf
Ce 140.12 Ce.upf
Zn 65.41 Zn.upf
CELL_PARAMETERS angstrom
3.601 0.000 -0.580
-0.204 5.262 -1.265
0.001 -0.027 11.476
ATOMIC_POSITIONS angstrom
La 1.290 1.977 8.012
La 2.108 3.258 1.619
La 1.801 0.000 -0.290
Ce 0.791 3.998 4.909
Ce 2.608 1.237 4.722
Zn 2.979 4.592 7.027
Zn -0.102 2.631 -0.633
Zn 0.419 0.642 2.604
```


No. 8
Below is ErSeS after structural relaxation, with properties calculated at the PBE level. Values from VASP.

Properties
- calculated density (g cm⁻³) = 7.23
- SG = I4mm (107)
- size of the total moment (Bohr magnetons per cell) = 0.00
- uncorrected formation energy (eV/atom) = -1.30
- total energy (eV/atom) = -5.3562

Cell and atoms, written as Quantum ESPRESSO input:
```
&SYSTEM
  ibrav = 0, nat = 3, ntyp = 3
/
ATOMIC_SPECIES
S 32.06 S.upf
Se 78.96 Se.upf
Er 167.26 Er.upf
CELL_PARAMETERS angstrom
-2.650 -1.805 1.692
2.473 -1.991 1.749
0.167 5.163 1.885
ATOMIC_POSITIONS angstrom
S 0.005 0.219 0.242
Se 0.050 2.063 2.278
Er -0.064 -0.916 2.806
```


No. 9
Below is TaRu2N2 after structural relaxation, with properties calculated at the PBE level. Values from VASP.

Properties
- calculated density (g cm⁻³) = 11.49
- SG = I4/mmm (139)
- size of the total moment (Bohr magnetons per cell) = 0.00
- uncorrected formation energy (eV/atom) = 0.55
- total energy (eV/atom) = -8.8632

Cell and atoms, written as Quantum ESPRESSO input:
```
&SYSTEM
  ibrav = 0, nat = 5, ntyp = 3
/
ATOMIC_SPECIES
Ru 101.07 Ru.upf
N 14.01 N.upf
Ta 180.95 Ta.upf
CELL_PARAMETERS angstrom
-1.266 -3.161 -1.548
2.866 -1.881 1.497
-1.518 -3.292 3.444
ATOMIC_POSITIONS angstrom
Ru 0.091 -2.757 1.036
Ru -0.009 -5.578 2.357
N -0.992 -4.487 0.935
N 1.074 -3.847 2.458
Ta 0.000 0.000 0.000
```


No. 10
Below is AgSb2Te after structural relaxation, with properties calculated at the PBE level. Values from VASP.

Properties
- calculated density (g cm⁻³) = 7.26
- SG = Cmmm (65)
- size of the total moment (Bohr magnetons per cell) = 0.00
- uncorrected formation energy (eV/atom) = 0.18
- total energy (eV/atom) = -3.3789

Cell and atoms, written as Quantum ESPRESSO input:
```
&SYSTEM
  ibrav = 0, nat = 4, ntyp = 3
/
ATOMIC_SPECIES
Sb 121.76 Sb.upf
Te 127.60 Te.upf
Ag 107.87 Ag.upf
CELL_PARAMETERS angstrom
-1.273 0.384 -2.826
-2.188 -2.121 0.688
-6.591 8.121 4.073
ATOMIC_POSITIONS angstrom
Sb -6.237 7.684 3.854
Sb -3.650 4.497 2.255
Te -3.378 1.162 -0.051
Ag -6.674 5.223 1.985
```


No. 11
Below is VOs2Rh after structural relaxation, with properties calculated at the PBE level. Values from VASP.

Properties
- energy of formation (kJ/mol of atoms) = 52.7
- calculated density (g cm⁻³) = 14.27
- SG = I-42d (122)
- size of the total moment (Bohr magnetons per cell) = 0.01
- total energy (eV/atom) = -9.1861

Cell and atoms, written as Quantum ESPRESSO input:
```
&SYSTEM
  ibrav = 0, nat = 8, ntyp = 3
/
ATOMIC_SPECIES
Os 190.23 Os.upf
Rh 102.91 Rh.upf
V 50.94 V.upf
CELL_PARAMETERS angstrom
-0.373 0.606 -3.683
-0.187 -3.700 -0.590
-9.066 -1.252 -1.197
ATOMIC_POSITIONS angstrom
Os -2.513 -0.413 -2.572
Os -2.440 -2.533 -1.231
Os -7.015 -2.202 -2.517
Os -7.285 -3.542 -4.620
Rh 0.000 0.000 0.000
Rh -4.860 -1.096 -3.508
V -0.280 -1.547 -2.137
V -4.767 -3.249 -1.962
```


No. 12
Below is LiLa2Sn after structural relaxation, with properties calculated at the PBE level. Values from VASP.

Properties
- energy of formation (kJ/mol of atoms) = -42.9
- calculated density (g cm⁻³) = 5.70
- SG = P4/mmm (123)
- size of the total moment (Bohr magnetons per cell) = 0.00
- total energy (eV/atom) = -4.3879

Cell and atoms, written as Quantum ESPRESSO input:
```
&SYSTEM
  ibrav = 0, nat = 4, ntyp = 3
/
ATOMIC_SPECIES
Li 6.94 Li.upf
Sn 118.71 Sn.upf
La 138.91 La.upf
CELL_PARAMETERS angstrom
4.492 0.000 0.000
0.000 5.116 0.000
0.000 0.000 5.116
ATOMIC_POSITIONS angstrom
Li 2.246 2.558 2.558
Sn 2.246 0.000 0.000
La 0.000 0.000 2.558
La 0.000 2.558 0.000
```